1.
Computed, not measured: an optimized crystal structure of Pr8P3PdBr4 at the PBE level of DFT.

Computed properties:
**Energy relative to the elements, uncorrected**: -1342 meV/atom
**Magnetization**: 0.000 μB/atom
**Space-group type**: R-3m (166)
**Volume**: 28.25 Å³/atom
**Total DFT energy (no corrections)**: -87.826 eV for the cell shown

a b c (Å): 8.7972 8.7972 8.7972
angles (deg): 57.35 57.35 57.35
Fractional positions:
Pr 0.2312 0.7396 0.7396
Pr 0.2351 0.2351 0.2351
Pr 0.2604 0.2604 0.7688
Pr 0.2604 0.7688 0.2604
Pr 0.7396 0.2312 0.7396
Pr 0.7396 0.7396 0.2312
Pr 0.7649 0.7649 0.7649
Pr 0.7688 0.2604 0.2604
P 0.0000 0.0000 0.5000
P 0.0000 0.5000 0.0000
P 0.5000 0.0000 0.0000
Pd 0.5000 0.5000 0.5000
Br 0.0000 0.0000 0.0000
Br 0.0000 0.5000 0.5000
Br 0.5000 0.0000 0.5000
Br 0.5000 0.5000 0.0000


2.
Computed, not measured: an optimized crystal structure of RbPPd2Br at the PBE level of DFT.

Computed properties:
**Energy relative to the elements, uncorrected**: -363 meV/atom
**Magnetization**: 0.000 μB/atom
**Space-group type**: P4/mmm (123)
**Volume**: 32.40 Å³/atom
**Total DFT energy (no corrections)**: -20.252 eV for the cell shown

a b c (Å): 4.4959 4.4959 8.0146
angles (deg): 90.00 90.00 90.00
Fractional positions:
Rb 0.0000 0.0000 0.0000
P 0.0000 0.0000 0.5000
Pd 0.0000 0.5000 0.5000
Pd 0.5000 0.0000 0.5000
Br 0.5000 0.5000 0.0000


3.
Computed, not measured: an optimized crystal structure of Rb2PPdBr6 at the PBE level of DFT.

Computed properties:
**Energy relative to the elements, uncorrected**: -819 meV/atom
**Magnetization**: 0.000 μB/atom
**Space-group type**: I4/mmm (139)
**Volume**: 29.74 Å³/atom
**Total DFT energy (no corrections)**: -30.770 eV for the cell shown

a b c (Å): 7.4880 7.4880 7.4880
angles (deg): 119.88 119.88 90.20
Fractional positions:
Rb 0.2500 0.7500 0.5000
Rb 0.7500 0.2500 0.5000
P 0.0000 0.0000 0.0000
Pd 0.5000 0.5000 0.0000
Br 0.2466 0.2466 0.0000
Br 0.2468 0.2468 0.4936
Br 0.2468 0.7532 0.0000
Br 0.7532 0.2468 0.0000
Br 0.7534 0.7534 0.0000
Br 0.7532 0.7532 0.5064


4.
Computed, not measured: an optimized crystal structure of PPdRhBr2 at the PBE level of DFT.

Computed properties:
**Energy relative to the elements, uncorrected**: 845 meV/atom
**Magnetization**: 0.321 μB/atom
**Space-group type**: P4/mmm (123)
**Volume**: 24.61 Å³/atom
**Total DFT energy (no corrections)**: -17.076 eV for the cell shown

a b c (Å): 5.2408 5.2408 4.4799
angles (deg): 90.00 90.00 90.00
Fractional positions:
P 0.0000 0.0000 0.0000
Pd 0.0000 0.0000 0.5000
Rh 0.5000 0.5000 0.0000
Br 0.0000 0.5000 0.5000
Br 0.5000 0.0000 0.5000


5.
Computed, not measured: an optimized crystal structure of PPdS2Br at the PBE level of DFT.

Computed properties:
**Energy relative to the elements, uncorrected**: 763 meV/atom
**Magnetization**: 0.000 μB/atom
**Space-group type**: P4/mmm (123)
**Volume**: 21.30 Å³/atom
**Total DFT energy (no corrections)**: -16.715 eV for the cell shown

a b c (Å): 4.7003 4.7003 4.8215
angles (deg): 90.00 90.00 90.00
Fractional positions:
P 0.0000 0.0000 0.0000
Pd 0.0000 0.0000 0.5000
S 0.0000 0.5000 0.5000
S 0.5000 0.0000 0.5000
Br 0.5000 0.5000 0.0000


6.
Computed, not measured: an optimized crystal structure of P2PdSBr at the PBE level of DFT.

Computed properties:
**Energy relative to the elements, uncorrected**: 1538 meV/atom
**Magnetization**: 0.000 μB/atom
**Space-group type**: P4/mmm (123)
**Volume**: 21.96 Å³/atom
**Total DFT energy (no corrections)**: -14.125 eV for the cell shown

a b c (Å): 4.8557 4.8557 4.6569
angles (deg): 90.00 90.00 90.00
Fractional positions:
P 0.0000 0.5000 0.0000
P 0.5000 0.0000 0.0000
Pd 0.0000 0.0000 0.5000
S 0.5000 0.5000 0.5000
Br 0.5000 0.5000 0.0000


7.
Computed, not measured: an optimized crystal structure of P2PdSBr at the PBE level of DFT.

Computed properties:
**Energy relative to the elements, uncorrected**: 823 meV/atom
**Magnetization**: 0.149 μB/atom
**Space-group type**: P4/mmm (123)
**Volume**: 21.40 Å³/atom
**Total DFT energy (no corrections)**: -17.699 eV for the cell shown

a b c (Å): 4.7618 4.7618 4.7192
angles (deg): 90.00 90.00 90.00
Fractional positions:
P 0.0000 0.5000 0.0000
P 0.5000 0.0000 0.0000
Pd 0.0000 0.0000 0.0000
S 0.0000 0.0000 0.5000
Br 0.5000 0.5000 0.5000


8.
Computed, not measured: an optimized crystal structure of SbP2PdBr at the PBE level of DFT.

Computed properties:
**Energy relative to the elements, uncorrected**: 946 meV/atom
**Magnetization**: 0.391 μB/atom
**Space-group type**: P4/mmm (123)
**Volume**: 26.93 Å³/atom
**Total DFT energy (no corrections)**: -17.076 eV for the cell shown

a b c (Å): 5.1364 5.1364 5.1043
angles (deg): 90.00 90.00 90.00
Fractional positions:
Sb 0.0000 0.0000 0.0000
P 0.0000 0.5000 0.0000
P 0.5000 0.0000 0.0000
Pd 0.0000 0.0000 0.5000
Br 0.5000 0.5000 0.5000


9.
Computed, not measured: an optimized crystal structure of ScPPdBr2 at the PBE level of DFT.

Computed properties:
**Energy relative to the elements, uncorrected**: -71 meV/atom
**Magnetization**: 0.383 μB/atom
**Space-group type**: P4/mmm (123)
**Volume**: 27.86 Å³/atom
**Total DFT energy (no corrections)**: -20.633 eV for the cell shown

a b c (Å): 5.1877 5.1877 5.1765
angles (deg): 90.00 90.00 90.00
Fractional positions:
Sc 0.0000 0.0000 0.0000
P 0.0000 0.0000 0.5000
Pd 0.5000 0.5000 0.5000
Br 0.0000 0.5000 0.0000
Br 0.5000 0.0000 0.0000


10.
Computed, not measured: an optimized crystal structure of SiPPd2Br at the PBE level of DFT.

Computed properties:
**Energy relative to the elements, uncorrected**: 1106 meV/atom
**Magnetization**: 0.000 μB/atom
**Space-group type**: P4/mmm (123)
**Volume**: 22.42 Å³/atom
**Total DFT energy (no corrections)**: -17.360 eV for the cell shown

a b c (Å): 4.7043 4.7043 5.0660
angles (deg): 90.00 90.00 90.00
Fractional positions:
Si 0.0000 0.0000 0.0000
P 0.5000 0.5000 0.0000
Pd 0.0000 0.5000 0.5000
Pd 0.5000 0.0000 0.5000
Br 0.0000 0.0000 0.5000


11.
Computed, not measured: an optimized crystal structure of Sr6PPd2Br3 at the PBE level of DFT.

Computed properties:
**Energy relative to the elements, uncorrected**: -1214 meV/atom
**Magnetization**: 0.000 μB/atom
**Space-group type**: C2/m (12)
**Volume**: 33.13 Å³/atom
**Total DFT energy (no corrections)**: -45.479 eV for the cell shown

a b c (Å): 7.7020 7.7020 8.1615
angles (deg): 99.13 99.13 120.02
Fractional positions:
Sr 0.0706 0.3985 0.2112
Sr 0.2573 0.2573 0.7890
Sr 0.3985 0.0706 0.2112
Sr 0.6015 0.9294 0.7888
Sr 0.7427 0.7427 0.2110
Sr 0.9294 0.6015 0.7888
P 0.0000 0.0000 0.0000
Pd 0.3331 0.6669 0.0000
Pd 0.6669 0.3331 0.0000
Br 0.1630 0.8370 0.5000
Br 0.5000 0.5000 0.5000
Br 0.8370 0.1630 0.5000


12.
Computed, not measured: an optimized crystal structure of V2PPdBr at the PBE level of DFT.

Computed properties:
**Energy relative to the elements, uncorrected**: 237 meV/atom
**Magnetization**: 1.197 μB/atom
**Space-group type**: P4/mmm (123)
**Volume**: 20.21 Å³/atom
**Total DFT energy (no corrections)**: -29.329 eV for the cell shown

a b c (Å): 4.7389 4.7389 4.5000
angles (deg): 90.00 90.00 90.00
Fractional positions:
V 0.0000 0.5000 0.0000
V 0.5000 0.0000 0.0000
P 0.0000 0.0000 0.0000
Pd 0.0000 0.0000 0.5000
Br 0.5000 0.5000 0.5000


13.
Computed, not measured: an optimized crystal structure of Pm4P3Br at the PBE level of DFT.

Computed properties:
**Energy relative to the elements, uncorrected**: -1557 meV/atom
**Magnetization**: 0.000 μB/atom
**Space-group type**: Cmmm (65)
**Volume**: 25.46 Å³/atom
**Total DFT energy (no corrections)**: -49.364 eV for the cell shown

a b c (Å): 7.2230 7.2230 4.1305
angles (deg): 90.00 90.00 109.04
Fractional positions:
Pm 0.2261 0.2261 0.5000
Pm 0.2396 0.7604 0.0000
Pm 0.7604 0.2396 0.0000
Pm 0.7739 0.7739 0.5000
P 0.0000 0.0000 0.0000
P 0.0000 0.5000 0.5000
P 0.5000 0.0000 0.5000
Br 0.5000 0.5000 0.0000


14.
Computed, not measured: an optimized crystal structure of Pm2PBr at the PBE level of DFT.

Computed properties:
**Energy relative to the elements, uncorrected**: -1502 meV/atom
**Magnetization**: 0.000 μB/atom
**Space-group type**: R-3m (166)
**Volume**: 26.92 Å³/atom
**Total DFT energy (no corrections)**: -22.591 eV for the cell shown

a b c (Å): 7.6159 7.6159 7.6159
angles (deg): 31.60 31.60 31.60
Fractional positions:
Pm 0.2331 0.2331 0.2331
Pm 0.7669 0.7669 0.7669
P 0.5000 0.5000 0.5000
Br 0.0000 0.0000 0.0000


15.
Computed, not measured: an optimized crystal structure of Pm2PBr3 at the PBE level of DFT.

Computed properties:
**Energy relative to the elements, uncorrected**: -1664 meV/atom
**Magnetization**: 0.000 μB/atom
**Space-group type**: C2/m (12)
**Volume**: 33.54 Å³/atom
**Total DFT energy (no corrections)**: -59.824 eV for the cell shown

a b c (Å): 8.8528 8.8528 12.4299
angles (deg): 120.77 120.77 29.13
Fractional positions:
Pm 0.1029 0.1029 0.4514
Pm 0.3607 0.3607 0.1840
Pm 0.6393 0.6393 0.8160
Pm 0.8971 0.8971 0.5486
P 0.0875 0.0875 0.6634
P 0.9125 0.9125 0.3366
Br 0.1589 0.1589 0.0114
Br 0.2659 0.2659 0.3929
Br 0.4443 0.4443 0.7426
Br 0.5557 0.5557 0.2574
Br 0.7341 0.7341 0.6071
Br 0.8411 0.8411 0.9886


16.
Computed, not measured: an optimized crystal structure of Pm2PBr at the PBE level of DFT.

Computed properties:
**Energy relative to the elements, uncorrected**: -1089 meV/atom
**Magnetization**: 0.000 μB/atom
**Space-group type**: P4/mmm (123)
**Volume**: 23.59 Å³/atom
**Total DFT energy (no corrections)**: -20.938 eV for the cell shown

a b c (Å): 5.0598 5.0598 3.6861
angles (deg): 90.00 90.00 90.00
Fractional positions:
Pm 0.0000 0.5000 0.0000
Pm 0.5000 0.0000 0.0000
P 0.0000 0.0000 0.5000
Br 0.5000 0.5000 0.5000


17.
Computed, not measured: an optimized crystal structure of Pm6P5Br at the PBE level of DFT.

Computed properties:
**Energy relative to the elements, uncorrected**: -1590 meV/atom
**Magnetization**: 0.000 μB/atom
**Space-group type**: C2/m (12)
**Volume**: 25.31 Å³/atom
**Total DFT energy (no corrections)**: -76.302 eV for the cell shown

a b c (Å): 7.1960 7.1960 7.1784
angles (deg): 99.65 99.65 119.89
Fractional positions:
Pm 0.0605 0.4131 0.7403
Pm 0.2349 0.2349 0.2606
Pm 0.4131 0.0605 0.7403
Pm 0.5869 0.9395 0.2597
Pm 0.7651 0.7651 0.7394
Pm 0.9395 0.5869 0.2597
P 0.0000 0.0000 0.5000
P 0.1673 0.8327 0.0000
P 0.3381 0.6619 0.5000
P 0.6619 0.3381 0.5000
P 0.8327 0.1673 0.0000
Br 0.5000 0.5000 0.0000


18.
Computed, not measured: an optimized crystal structure of Pm2PBr at the PBE level of DFT.

Computed properties:
**Energy relative to the elements, uncorrected**: -1181 meV/atom
**Magnetization**: 0.000 μB/atom
**Space-group type**: Fm-3m (225)
**Volume**: 23.51 Å³/atom
**Total DFT energy (no corrections)**: -21.310 eV for the cell shown

a b c (Å): 5.1044 5.1044 5.1044
angles (deg): 60.00 60.00 60.00
Fractional positions:
Pm 0.2500 0.2500 0.2500
Pm 0.7500 0.7500 0.7500
P 0.0000 0.0000 0.0000
Br 0.5000 0.5000 0.5000


19.
Computed, not measured: an optimized crystal structure of Pm2PBr at the PBE level of DFT.

Computed properties:
**Energy relative to the elements, uncorrected**: -1493 meV/atom
**Magnetization**: 0.000 μB/atom
**Space-group type**: R3m (160)
**Volume**: 26.74 Å³/atom
**Total DFT energy (no corrections)**: -22.555 eV for the cell shown

a b c (Å): 7.8050 7.8050 7.8050
angles (deg): 30.26 30.26 30.26
Fractional positions:
Pm 0.0000 0.0000 0.0000
Pm 0.1980 0.1980 0.1980
P 0.5977 0.5977 0.5977
Br 0.7670 0.7670 0.7670


20.
Computed, not measured: an optimized crystal structure of PmPrPBr at the PBE level of DFT.

Computed properties:
**Energy relative to the elements, uncorrected**: -1498 meV/atom
**Magnetization**: 0.000 μB/atom
**Space-group type**: R3m (160)
**Volume**: 27.39 Å³/atom
**Total DFT energy (no corrections)**: -22.605 eV for the cell shown

a b c (Å): 7.8635 7.8635 7.8635
angles (deg): 30.28 30.28 30.28
Fractional positions:
Pm 0.0000 0.0000 0.0000
Pr 0.1976 0.1976 0.1976
P 0.6019 0.6019 0.6019
Br 0.4295 0.4295 0.4295


21.
Computed, not measured: an optimized crystal structure of Pm8PRh3Br4 at the PBE level of DFT.

Computed properties:
**Energy relative to the elements, uncorrected**: -1125 meV/atom
**Magnetization**: 0.000 μB/atom
**Space-group type**: C2/m (12)
**Volume**: 28.44 Å³/atom
**Total DFT energy (no corrections)**: -90.161 eV for the cell shown

a b c (Å): 8.2984 8.2984 9.0143
angles (deg): 117.45 117.45 60.00
Fractional positions:
Pm 0.2239 0.7361 0.6956
Pm 0.2329 0.2329 0.6982
Pm 0.2639 0.2639 0.3044
Pm 0.2639 0.7761 0.3044
Pm 0.7361 0.2239 0.6956
Pm 0.7361 0.7361 0.6956
Pm 0.7671 0.7671 0.3018
Pm 0.7761 0.2639 0.3044
P 0.5000 0.5000 0.5000
Rh 0.0000 0.0000 0.5000
Rh 0.0000 0.5000 0.5000
Rh 0.5000 0.0000 0.5000
Br 0.0000 0.0000 0.0000
Br 0.0000 0.5000 0.0000
Br 0.5000 0.0000 0.0000
Br 0.5000 0.5000 0.0000


22.
Computed, not measured: an optimized crystal structure of Pm6PRh2Br3 at the PBE level of DFT.

Computed properties:
**Energy relative to the elements, uncorrected**: -1164 meV/atom
**Magnetization**: 0.000 μB/atom
**Space-group type**: C2/m (12)
**Volume**: 28.39 Å³/atom
**Total DFT energy (no corrections)**: -67.606 eV for the cell shown

a b c (Å): 7.1910 7.1910 7.9651
angles (deg): 98.56 98.56 119.98
Fractional positions:
Pm 0.0927 0.4343 0.8025
Pm 0.2233 0.2233 0.1972
Pm 0.4343 0.0927 0.8025
Pm 0.5657 0.9073 0.1975
Pm 0.7767 0.7767 0.8028
Pm 0.9073 0.5657 0.1975
P 0.5000 0.5000 0.0000
Rh 0.1671 0.8329 0.0000
Rh 0.8329 0.1671 0.0000
Br 0.0000 0.0000 0.5000
Br 0.3380 0.6620 0.5000
Br 0.6620 0.3380 0.5000


23.
Computed, not measured: an optimized crystal structure of Pm8PRu3Br4 at the PBE level of DFT.

Computed properties:
**Energy relative to the elements, uncorrected**: -939 meV/atom
**Magnetization**: 0.000 μB/atom
**Space-group type**: R-3m (166)
**Volume**: 28.30 Å³/atom
**Total DFT energy (no corrections)**: -92.963 eV for the cell shown

a b c (Å): 9.0340 9.0340 9.0340
angles (deg): 54.36 54.36 54.36
Fractional positions:
Pm 0.2205 0.7359 0.7359
Pm 0.2348 0.2348 0.2348
Pm 0.2641 0.2641 0.7795
Pm 0.2641 0.7796 0.2641
Pm 0.7359 0.2205 0.7359
Pm 0.7359 0.7359 0.2205
Pm 0.7652 0.7652 0.7652
Pm 0.7796 0.2641 0.2641
P 0.5000 0.5000 0.5000
Ru 0.0000 0.0000 0.5000
Ru 0.0000 0.5000 0.0000
Ru 0.5000 0.0000 0.0000
Br 0.0000 0.0000 0.0000
Br 0.0000 0.5000 0.5000
Br 0.5000 0.0000 0.5000
Br 0.5000 0.5000 0.0000


24.
Computed, not measured: an optimized crystal structure of Pm6P2S3Br at the PBE level of DFT.

Computed properties:
**Energy relative to the elements, uncorrected**: -1776 meV/atom
**Magnetization**: 0.000 μB/atom
**Space-group type**: C2/m (12)
**Volume**: 24.49 Å³/atom
**Total DFT energy (no corrections)**: -74.690 eV for the cell shown

a b c (Å): 9.1525 9.1525 8.2502
angles (deg): 102.33 102.33 25.84
Fractional positions:
Pm 0.0039 0.0039 0.2807
Pm 0.3213 0.3213 0.9017
Pm 0.3314 0.3314 0.4204
Pm 0.6686 0.6686 0.5796
Pm 0.6787 0.6787 0.0983
Pm 0.9961 0.9961 0.7193
P 0.1663 0.1663 0.3317
P 0.8337 0.8337 0.6683
S 0.1610 0.1610 0.8353
S 0.5000 0.5000 0.5000
S 0.8390 0.8390 0.1647
Br 0.5000 0.5000 0.0000